(1)
# BaTeI3 | the Alexandria database | meta-GGA SCAN | single point on PBEsol structure
# Space-group type: Pm-3m, No. 221
# Energy relative to the elements, uncorrected, eV per atom: -0.648
# ρ, g cm⁻³: 4.67
data_BaTeI3
_chemical_formula_sum 'Ba1 Te1 I3'
_cell_length_a 6.124
_cell_length_b 6.124
_cell_length_c 6.124
_cell_angle_alpha 90.00
_cell_angle_beta 90.00
_cell_angle_gamma 90.00
_symmetry_space_group_name_H-M 'P 1'
_symmetry_Int_Tables_number 1
_symmetry_space_group_name_Hall 'P 1'
loop_
_atom_site_label
_atom_site_fract_x
_atom_site_fract_y
_atom_site_fract_z
I1 0.000 0.500 0.000
I2 0.000 0.000 0.500
I3 0.500 0.000 0.000
Te1 0.000 0.000 0.000
Ba1 0.500 0.500 0.500

***

(2)
# BaSr3Ti4O12 | the Alexandria database | meta-GGA SCAN | single point on PBEsol structure
# Space-group type: P4/mmm, No. 123
# Energy relative to the elements, uncorrected, eV per atom: -3.443
# ρ, g cm⁻³: 5.40
data_BaSr3Ti4O12
_chemical_formula_sum 'Ba1 Sr3 Ti4 O12'
_cell_length_a 3.921
_cell_length_b 3.921
_cell_length_c 15.680
_cell_angle_alpha 90.00
_cell_angle_beta 90.00
_cell_angle_gamma 90.00
_symmetry_space_group_name_H-M 'P 1'
_symmetry_Int_Tables_number 1
_symmetry_space_group_name_Hall 'P 1'
loop_
_atom_site_label
_atom_site_fract_x
_atom_site_fract_y
_atom_site_fract_z
Ba1 0.000 0.000 0.000
Sr1 0.000 0.000 0.252
Sr2 0.000 0.000 0.500
Sr3 0.000 0.000 0.748
Ti1 0.500 0.500 0.129
Ti2 0.500 0.500 0.376
Ti3 0.500 0.500 0.624
Ti4 0.500 0.500 0.871
O1 0.000 0.500 0.130
O2 0.000 0.500 0.376
O3 0.000 0.500 0.624
O4 0.000 0.500 0.870
O5 0.500 0.500 0.000
O6 0.500 0.500 0.252
O7 0.500 0.500 0.500
O8 0.500 0.500 0.748
O9 0.500 0.000 0.130
O10 0.500 0.000 0.376
O11 0.500 0.000 0.624
O12 0.500 0.000 0.870

***

(3)
# KSrHg2 | the Alexandria database | meta-GGA SCAN | single point on PBEsol structure
# Energy of formation from the pure elements, eV/atom: -0.342
# Space-group type: P4mm, No. 99
# ρ, g cm⁻³: 6.30
data_KSrHg2
_chemical_formula_sum 'K1 Sr1 Hg2'
_cell_length_a 4.033
_cell_length_b 4.035
_cell_length_c 8.550
_cell_angle_alpha 90.00
_cell_angle_beta 90.00
_cell_angle_gamma 90.00
_symmetry_space_group_name_H-M 'P 1'
_symmetry_Int_Tables_number 1
_symmetry_space_group_name_Hall 'P 1'
loop_
_atom_site_label
_atom_site_fract_x
_atom_site_fract_y
_atom_site_fract_z
Hg1 0.000 0.000 0.024
Hg2 0.500 0.500 0.209
K1 0.000 0.000 0.432
Sr1 0.500 0.500 0.835